1.
VASP calculation (GGA-PBE) on a geometry-optimized Co2PdWN structure.

Cell and atoms, written as extended XYZ:
```
5
Lattice="3.8544 0.0000 0.0000 0.0000 3.8544 0.0000 0.0000 0.0000 4.0244" Properties=species:S:1:pos:R:3 pbc="T T T"
Co 0.0000 1.9272 0.0000
Co 1.9272 0.0000 0.0000
Pd 1.9272 1.9272 2.0122
W 0.0000 0.0000 2.0122
N 0.0000 0.0000 0.0000
```

Output
* E_form (uncorrected): 0.07 eV/f.u.
* symmetry: P4/mmm, No. 123

***

2.
VASP calculation (GGA-PBE) on a geometry-optimized Ba2PuO5 structure.

Cell and atoms, written as extended XYZ:
```
16
Lattice="6.0301 0.0000 0.0000 -3.0150 5.6749 -2.3311 0.0000 0.3946 8.4776" Properties=species:S:1:pos:R:3 pbc="T T T"
Ba 2.7952 2.0223 2.0303
Ba -0.2199 3.8499 -0.1225
Ba 3.2349 2.2196 6.2691
Ba 0.2199 4.0471 4.1163
Pu 0.0000 0.0000 0.0000
Pu 0.0000 0.1973 4.2388
O 4.6067 1.5026 0.1783
O 4.7122 1.6490 3.9233
O 1.3179 1.4517 -0.3155
O 1.5917 4.3696 1.7294
O 1.4234 1.6999 4.4171
O 0.6453 0.0986 2.1194
O 1.6972 4.6178 6.4620
O -1.6972 4.4205 2.2232
O -1.5917 4.5669 5.9682
O 5.3847 0.2959 6.3582
```

Output
* E above lowest polymorph: 0.000 eV per atom
* E_form (uncorrected): -22.51 eV/f.u.
* symmetry: C2/c, No. 15

***

3.
VASP calculation (GGA-PBE) on a geometry-optimized TbPr8In2 structure.

Cell and atoms, written as extended XYZ:
```
11
Lattice="5.2240 0.0000 0.0000 0.0000 8.3893 0.2471 -2.6120 -3.2925 8.2976" Properties=species:S:1:pos:R:3 pbc="T T T"
Tb 2.6120 0.0000 0.0000
Pr 0.0000 1.8545 6.7453
Pr 2.6120 6.7080 3.3276
Pr 2.6120 4.3256 6.1110
Pr 2.6120 -0.7390 7.4818
Pr 0.0000 0.7713 2.4337
Pr 0.0000 -1.6111 5.2171
Pr 2.6120 3.2423 1.7994
Pr 0.0000 5.8359 1.0629
In 2.6120 1.2095 4.6545
In 0.0000 3.8873 3.8902
```

Output
* energy relative to the elements: -0.146 eV/atom
* symmetry: C2/m, No. 12

***

4.
VASP calculation (GGA-PBE) on a geometry-optimized Ac2LaTbPm5 structure.

Cell and atoms, written as extended XYZ:
```
18
Lattice="-0.1665 4.5964 -3.7550 -8.5588 -0.9794 3.8750 3.3051 7.6664 9.2377" Properties=species:S:1:pos:R:3 pbc="T T T"
Ac -3.7496 10.4084 8.2126
Ac 1.0917 6.0263 7.3282
Ac -0.5197 3.5447 4.3620
Ac -6.4595 5.3787 2.1760
La -2.9741 6.2419 3.0780
La -1.2652 7.7810 9.5806
Tb 1.0974 9.7030 7.1342
Tb -5.3391 4.3143 5.5178
Pm -7.4182 1.6752 2.3796
Pm -1.6541 8.4665 5.7426
Pm -5.0174 7.1015 8.9153
Pm -2.6501 5.5157 6.8692
Pm -5.2927 7.9295 5.2466
Pm 0.7849 6.7944 3.5876
Pm -3.9276 2.4425 3.1640
Pm -0.2348 4.5718 0.9123
Pm -3.5928 3.8597 0.1895
Pm -1.1726 0.9299 1.1902
```

Output
* energy relative to the elements: 0.079 eV/atom
* symmetry: Cmc2_1, No. 36

***

5.
VASP calculation (GGA-PBE) on a geometry-optimized Pu3TlFe structure.

Cell and atoms, written as extended XYZ:
```
5
Lattice="-4.5243 0.2501 2.2089 2.1431 -0.8404 4.4846 0.5907 4.9641 0.6480" Properties=species:S:1:pos:R:3 pbc="T T T"
Tl -0.8952 2.1869 3.6708
Fe 0.0000 0.0000 0.0000
Pu 1.0715 -0.4202 2.2423
Pu 0.2954 2.4821 0.3240
Pu -2.2622 0.1250 1.1044
```

Output
* energy relative to the elements: 0.103 eV/atom
* symmetry: Pm-3m, No. 221

***

6.
VASP calculation (GGA-PBE) on a geometry-optimized Tb3YErTh structure.

Cell and atoms, written as extended XYZ:
```
12
Lattice="5.0448 0.0000 0.0000 0.0000 7.8563 -1.1839 0.0000 -3.2764 10.1611" Properties=species:S:1:pos:R:3 pbc="T T T"
Tb 3.7836 6.6793 -0.5824
Tb 1.2612 -2.0993 9.5596
Tb 1.2612 3.4256 3.9023
Tb 3.7836 1.1543 5.0749
Tb 3.7836 2.3271 1.6541
Tb 1.2612 2.2529 7.3231
Y 1.2612 0.0169 2.8219
Y 3.7836 4.5630 6.1552
Er 1.2612 -1.0540 6.2280
Er 3.7836 5.6339 2.7491
Th 1.2612 4.4824 0.5087
Th 3.7836 0.0975 8.4685
```

Output
* energy relative to the elements: 0.026 eV/atom
* symmetry: P2_1/m, No. 11

***

7.
VASP calculation (GGA-PBE) on a geometry-optimized LaMgZrCd structure.

Cell and atoms, written as extended XYZ:
```
4
Lattice="5.2749 0.0000 0.0000 2.6374 4.5682 0.0000 2.6374 1.5227 4.3069" Properties=species:S:1:pos:R:3 pbc="T T T"
Mg 2.6374 1.5227 1.0767
Cd 7.9123 4.5682 3.2302
Zr 0.0000 0.0000 0.0000
La 5.2749 3.0454 2.1535
```

Output
* energy relative to the elements: -0.001 eV/atom
* symmetry: F-43m, No. 216

***

8.
VASP calculation (GGA-PBE) on a geometry-optimized CsPb2ICl4 structure.

Cell and atoms, written as extended XYZ:
```
8
Lattice="-2.6448 -4.0301 0.8531 1.0965 0.2885 4.7622 -9.6883 6.7438 1.8222" Properties=species:S:1:pos:R:3 pbc="T T T"
Cs 0.0000 0.0000 0.0000
Pb -3.9531 0.3420 3.4056
Pb -7.2835 2.6601 4.0319
I -4.8441 3.3719 0.9111
Cl -1.4738 1.5517 2.7614
Cl -8.9887 3.3212 1.8684
Cl -3.3444 -0.6076 0.8068
Cl -7.1180 5.4805 3.8230
```

Output
* E_form (uncorrected): -9.49 eV/f.u.
* symmetry: P4/mmm, No. 123

***

9.
VASP calculation (GGA-PBE) on a geometry-optimized PuCdPtO6 structure.

Cell and atoms, written as extended XYZ:
```
18
Lattice="-0.5338 -5.2822 -0.4591 3.0888 2.6733 -3.4219 7.8916 -1.3265 6.0871" Properties=species:S:1:pos:R:3 pbc="T T T"
Pu 2.6467 -2.9620 0.0750
Pu 7.8000 -0.9734 2.1310
Cd 0.0000 0.0000 0.0000
Cd 3.9458 -0.6633 3.0435
Pt 3.8542 -0.3101 -0.9126
Pt 6.5924 -3.6252 3.1186
O 2.7526 -1.8445 -1.6891
O 2.1787 0.7309 -0.3838
O 4.8620 -2.7048 3.6922
O 8.2680 -4.6663 2.5898
O 3.7740 -1.3712 0.8305
O 4.8703 1.2232 -0.0254
O 6.4816 -4.5667 4.9275
O 5.5846 -1.2306 -1.4862
O 5.5764 -5.1586 2.2314
O 3.9650 0.6313 -2.7214
O 6.6727 -2.5642 1.3755
O 7.6941 -2.0909 3.8951
```

Output
* E_form (uncorrected): -13.41 eV/f.u.
* symmetry: P-31c, No. 163

***

10.
VASP calculation (GGA-PBE) on a geometry-optimized SrReRh2 structure.

Cell and atoms, written as extended XYZ:
```
8
Lattice="-6.7161 -2.6806 -1.9681 2.9093 -6.8846 -0.5509 -2.5678 -5.3013 1.7144" Properties=species:S:1:pos:R:3 pbc="T T T"
Re 0.0000 0.0000 0.0000
Re -5.5936 -6.3822 -0.7567
Rh -4.9663 -4.0570 -1.0141
Rh 0.8273 -5.7675 -0.0180
Rh -3.5659 -7.0601 0.3813
Rh -5.0444 -12.8483 -0.9587
Sr -1.9034 -4.7826 -1.2595
Sr -0.7810 -8.4842 -0.0481
```

Output
* E above lowest polymorph: 0.337 eV per atom
* energy relative to the elements: 0.496 eV/atom
* symmetry: I-42d, No. 122

***

11.
VASP calculation (GGA-PBE) on a geometry-optimized Pa2CoTcSb structure.

Cell and atoms, written as extended XYZ:
```
10
Lattice="-2.8388 -1.2623 -2.3352 3.4472 -6.8984 -0.4615 -4.7518 0.1378 5.7021" Properties=species:S:1:pos:R:3 pbc="T T T"
Pa -2.0901 -6.8627 1.3992
Pa 0.0919 -6.0951 -1.6682
Pa -2.0533 -1.1602 1.5062
Pa -4.2353 -1.9279 4.5737
Co -1.8639 -6.4177 4.1180
Co -2.2795 -1.6052 -1.2125
Tc 0.2223 -5.3060 0.9809
Tc -4.3657 -2.7169 1.9245
Sb -2.2076 -4.0165 3.2378
Sb -1.9358 -4.0065 -0.3323
```

Output
* E_form (uncorrected): -1.65 eV/f.u.
* symmetry: P2_1/m, No. 11

***

12.
VASP calculation (GGA-PBE) on a geometry-optimized MnAgSe2 structure.

Cell and atoms, written as extended XYZ:
```
4
Lattice="2.6469 6.4720 4.0108 5.1686 3.8179 4.8671 5.4541 5.7077 1.6292" Properties=species:S:1:pos:R:3 pbc="T T T"
Mn 6.6348 7.9988 5.2536
Se 11.8435 14.2783 9.3779
Se 1.4261 1.7193 1.1292
Ag 0.0000 0.0000 0.0000
```

Output
* E_form (uncorrected): -1.06 eV/f.u.
* symmetry: R-3m, No. 166

***

13.
VASP calculation (GGA-PBE) on a geometry-optimized TcGeIN2 structure.

Cell and atoms, written as extended XYZ:
```
5
Lattice="-2.7778 2.2919 1.6998 1.1913 -1.2241 3.5973 3.6291 4.2238 0.2355" Properties=species:S:1:pos:R:3 pbc="T T T"
I 1.8145 2.1119 0.1177
Ge 1.0213 2.6458 2.7663
Tc 0.0000 0.0000 0.0000
N 0.5957 -0.6121 1.7986
N -1.3889 1.1460 0.8499
```

Output
* E above lowest polymorph: 0.000 eV per atom
* E_form (uncorrected): 4.68 eV/f.u.
* symmetry: P4/mmm, No. 123

***

14.
VASP calculation (GGA-PBE) on a geometry-optimized KSr2Be structure.

Cell and atoms, written as extended XYZ:
```
4
Lattice="6.1048 0.0000 0.0000 3.0524 5.2869 0.0000 3.0524 1.7623 4.9845" Properties=species:S:1:pos:R:3 pbc="T T T"
Sr 0.0000 0.0000 0.0000
Sr 3.0524 1.7623 1.2461
K 9.1572 5.2869 3.7384
Be 6.1048 3.5246 2.4923
```

Output
* energy relative to the elements: 0.698 eV/atom
* symmetry: F-43m, No. 216

***

15.
VASP calculation (GGA-PBE) on a geometry-optimized Tb3Mg2Cd structure.

Cell and atoms, written as extended XYZ:
```
6
Lattice="3.8043 0.0000 0.0000 0.0000 3.8043 0.0000 0.0000 0.0000 11.2323" Properties=species:S:1:pos:R:3 pbc="T T T"
Tb 0.0000 0.0000 0.0000
Tb 0.0000 0.0000 7.4654
Tb 0.0000 0.0000 3.7669
Mg 1.9022 1.9022 9.3706
Mg 1.9022 1.9022 1.8617
Cd 1.9022 1.9022 5.6161
```

Output
* energy relative to the elements: -0.163 eV/atom
* symmetry: P4/mmm, No. 123

***

16.
VASP calculation (GGA-PBE) on a geometry-optimized LiGaSbPd structure.

Cell and atoms, written as extended XYZ:
```
4
Lattice="4.6515 0.0000 0.0000 2.3257 4.0283 0.0000 2.3257 1.3428 3.7979" Properties=species:S:1:pos:R:3 pbc="T T T"
Sb 2.3257 1.3428 0.9495
Ga 6.9772 4.0283 2.8485
Pd 4.6515 2.6855 1.8990
Li 0.0000 0.0000 0.0000
```

Output
* E_form (uncorrected): -1.53 eV/f.u.
* symmetry: F-43m, No. 216

***

17.
VASP calculation (GGA-PBE) on a geometry-optimized MgMnI3 structure.

Cell and atoms, written as extended XYZ:
```
5
Lattice="-4.8167 -1.8819 -2.5016 3.0296 -3.9580 -2.8558 -0.7881 -3.7138 4.3112" Properties=species:S:1:pos:R:3 pbc="T T T"
I 1.5148 -1.9790 -1.4279
I -0.3940 -1.8569 2.1556
I -2.4083 -0.9409 -1.2508
Mg 0.0000 0.0000 0.0000
Mn -1.2876 -4.7769 -0.5231
```

Output
* E above lowest polymorph: 0.037 eV per atom
* E_form (uncorrected): -0.49 eV/f.u.
* symmetry: Pm-3m, No. 221

***

18.
VASP calculation (GGA-PBE) on a geometry-optimized MgMnTl2Cl6 structure.

Cell and atoms, written as extended XYZ:
```
20
Lattice="-5.3758 -0.4027 -4.6199 3.0922 -5.6012 -3.1101 -4.9212 -6.1949 6.2643" Properties=species:S:1:pos:R:3 pbc="T T T"
Mg -5.1485 -3.2988 0.8222
Mg 1.5461 -2.8006 -1.5550
Mn -2.6879 -0.2014 -2.3100
Mn -0.9145 -5.8981 1.5771
Tl 1.7523 -6.9992 -1.4787
Tl -4.7725 -7.8031 0.7271
Tl -8.9571 -5.1997 0.0129
Tl -2.4323 -4.3958 -2.1928
Cl 0.6381 -4.2844 -3.3954
Cl -4.3367 -7.8994 -2.7475
Cl -7.8429 -7.9144 1.9297
Cl -2.8680 -4.2995 1.2818
Cl -1.6192 -7.1286 -0.5313
Cl -6.5990 -10.7336 0.1210
Cl -5.5856 -5.0703 -0.9345
Cl -0.6058 -1.4653 -1.5868
Cl -4.8260 -4.7461 -4.4296
Cl -3.0687 -10.4138 -0.5274
Cl -2.3788 -7.4527 2.9639
Cl -4.1361 -1.7851 -0.9383
```

Output
* E_form (uncorrected): -12.79 eV/f.u.
* symmetry: P2_1/c, No. 14

***

19.
VASP calculation (GGA-PBE) on a geometry-optimized CaCrGe3 structure.

Cell and atoms, written as extended XYZ:
```
5
Lattice="4.6947 0.0000 0.0000 0.0000 4.6947 0.0000 0.0000 0.0000 4.6947" Properties=species:S:1:pos:R:3 pbc="T T T"
Cr 0.0000 0.0000 0.0000
Ge 0.0000 2.3474 0.0000
Ge 0.0000 0.0000 2.3474
Ge 2.3474 0.0000 0.0000
Ca 2.3474 2.3474 2.3474
```

Output
* energy relative to the elements: -0.079 eV/atom
* symmetry: Pm-3m, No. 221

***

20.
VASP calculation (GGA-PBE) on a geometry-optimized BaFeAg2 structure.

Cell and atoms, written as extended XYZ:
```
4
Lattice="4.6280 -0.0064 0.0332 2.3179 4.0058 0.0332 2.2752 1.3100 5.7532" Properties=species:S:1:pos:R:3 pbc="T T T"
Ag 2.2771 1.3111 5.5212
Ag 2.3125 1.3315 0.5298
Ba 4.6098 2.6542 2.9612
Fe 6.9074 3.9771 5.4704
```

Output
* E above lowest polymorph: 0.010 eV per atom
* energy relative to the elements: 0.209 eV/atom
* symmetry: R3m, No. 160